[1]
A plane-wave DFT calculation with PBE was carried out for a geometry-optimized HfAlAsBr2 structure.

Cell: 4.8631 4.8631 5.1373 Å, 90.00 90.00 90.00°
Site moments in Bohr magnetons follow the coordinates.
Fractional coordinates of all 5 atoms:
As1 0.0000 0.0000 0.5000  -0.03
Br1 0.0000 0.5000 0.0000  -0.01
Hf1 0.5000 0.5000 0.5000  0.59
Al1 0.0000 0.0000 0.0000  -0.01
Br2 0.5000 0.0000 0.0000  -0.01

Results
* ρ: 6.0 g/cm³
* energy relative to the elements, uncorrected: 1.421 eV per formula unit

---

[2]
A plane-wave DFT calculation with PBE was carried out for a geometry-optimized TaCdB2P structure.

Cell: 4.0106 4.7487 4.0106 Å, 90.00 90.00 90.00°
Fractional coordinates of all 5 atoms:
Ta1 0.0000 0.5000 0.0000
Cd1 0.5000 0.5000 0.5000
B1 0.0000 0.0000 0.5000
P1 0.0000 0.0000 0.0000
B2 0.5000 0.0000 0.0000

Results
* calculated formation energy: 1.24 eV/atom
* ρ: 7.5 g/cm³

---

[3]
A plane-wave DFT calculation with PBE was carried out for a geometry-optimized Hf2TaVAu structure.

Cell: 5.0625 4.6269 5.0625 Å, 90.00 90.00 90.00°
Fractional coordinates of all 5 atoms:
Hf1 0.5000 0.0000 0.0000
V1 0.0000 0.5000 0.0000
Ta1 0.5000 0.5000 0.5000
Hf2 0.0000 0.0000 0.5000
Au1 0.0000 0.0000 0.0000

Results
* calculated formation energy: 1.28 eV/atom
* ρ: 11.0 g/cm³

---

[4]
A plane-wave DFT calculation with PBE was carried out for a geometry-optimized TiAlCoPb2 structure.

Cell: 5.3195 5.0119 5.3195 Å, 90.00 90.00 90.00°
Site moments in Bohr magnetons follow the coordinates.
Fractional coordinates of all 5 atoms:
Co1 0.5000 0.5000 0.5000  2.12
Ti1 0.0000 0.0000 0.0000  0.15
Pb1 0.0000 0.0000 0.5000  0.03
Pb2 0.5000 0.0000 0.0000  0.00
Al1 0.0000 0.5000 0.0000  0.01

Results
* calculated formation energy: 1.05 eV/atom
* ρ: 6.4 g/cm³

---

[5]
A plane-wave DFT calculation with PBE was carried out for a geometry-optimized Nd5CdIn3 structure.

Cell: 6.7984 9.6193 9.6187 Å, 120.00 90.00 90.00°
Fractional coordinates of all 18 atoms:
Nd1 0.2500 0.0000 0.7049
Nd2 0.0000 0.3333 0.6665
In1 0.2500 0.6345 0.6345
Nd3 0.7500 0.7048 0.7049
Nd4 0.7500 0.0000 0.2951
Nd5 0.2500 0.7048 0.0000
Nd6 0.7500 0.2952 0.0000
Cd1 0.5000 0.0000 0.0000
Nd7 0.0000 0.6667 0.3335
In2 0.7500 0.6345 0.0000
In3 0.7500 0.3655 0.3655
Nd8 0.5000 0.6667 0.3335
Cd2 0.0000 0.0000 0.0000
In4 0.2500 0.3655 0.0000
Nd9 0.2500 0.2952 0.2951
In5 0.7500 0.0000 0.6345
Nd10 0.5000 0.3333 0.6665
In6 0.2500 0.0000 0.3655

Results
* calculated formation energy: -0.40 eV/atom
* ρ: 7.2 g/cm³

---

[6]
A plane-wave DFT calculation with PBE was carried out for a geometry-optimized Rb2DyPuSe4 structure.

Cell: 4.2831 7.4362 8.3447 Å, 107.25 90.00 90.00°
Site moments in Bohr magnetons follow the coordinates.
Fractional coordinates of all 8 atoms:
Se1 0.0000 0.2724 0.8042  -0.03
Rb1 0.5000 0.0000 0.5000  0.00
Pu1 0.0000 0.0000 0.0000  5.11
Se2 0.5000 0.2344 0.1945  -0.07
Rb2 0.0000 0.5000 0.5000  0.00
Dy1 0.5000 0.5000 0.0000  0.02
Se3 0.5000 0.7656 0.8055  -0.07
Se4 0.0000 0.7276 0.1958  -0.03

Results
* ρ: 5.8 g/cm³
* energy relative to the elements, uncorrected: -12.641 eV per formula unit

---

[7]
A plane-wave DFT calculation with PBE was carried out for a geometry-optimized PmPrSi2 structure.

Cell: 4.4664 3.9422 5.9267 Å, 90.00 112.12 90.00°
Fractional coordinates of all 4 atoms:
Pr1 0.4420 0.5000 0.4223
Pm1 0.7218 0.0000 0.9833
Si1 0.1553 0.5000 0.8493
Si2 0.0119 0.0000 0.5630

Results
* ρ: 5.9 g/cm³
* energy relative to the elements, uncorrected: -3.035 eV per formula unit

---

[8]
A plane-wave DFT calculation with PBE was carried out for a geometry-optimized Cs2KNaS structure.

Cell: 7.6802 5.0536 7.6802 Å, 90.00 90.00 90.00°
Fractional coordinates of all 5 atoms:
Na1 0.0000 0.0000 0.0000
Cs1 0.0000 0.0000 0.5000
K1 0.5000 0.5000 0.5000
Cs2 0.5000 0.0000 0.0000
S1 0.0000 0.5000 0.0000

Results
* ρ: 2.0 g/cm³
* energy relative to the elements, uncorrected: -1.578 eV per formula unit

---

no.,DOS(E_F) (states/eV/f.u.),total energy (eV per atom),volume (A^3/atom)
1,3.568,-4.0541,24.30
2,2.505,-5.0620,15.28
3,7.762,-7.5536,23.72
4,8.188,-4.1828,28.36
5,8.076,-4.0599,30.26
6,12.006,-5.9311,31.73
7,3.448,-5.8529,24.17
8,1.769,-1.9659,59.62